1.
# PBE-GGA Pu2PaPt, relaxed
# total moment	23.21	Bohr magnetons per cell
# density of states at the Fermi level	23.8	states/eV per cell
# energy above the most stable polymorph in this dataset	0	meV per atom
# energy of formation from the pure elements	-0.351	eV/atom
data_Pu2PaPt
_chemical_formula_sum 'Pu4 Pa2 Pt2'
_cell_length_a 5.870
_cell_length_b 5.202
_cell_length_c 5.932
_cell_angle_alpha 90.00
_cell_angle_beta 92.79
_cell_angle_gamma 90.00
_space_group_name_H-M_alt 'P 1 21/m 1'
_space_group_IT_number 11
loop_
_space_group_symop_operation_xyz
'x,y,z'
'-x,-y,-z'
'-x,y+1/2,-z'
'x,-y+1/2,z'
loop_
_atom_site_label
_atom_site_type_symbol
_atom_site_fract_x
_atom_site_fract_y
_atom_site_fract_z
_atom_site_occupancy
Pu1 Pu 0.048 0.250 0.375 1
Pu2 Pu 0.442 0.750 0.628 1
Pa1 Pa 0.255 0.250 0.915 1
Pt1 Pt 0.246 0.750 0.152 1

=====

2.
# PBE-GGA CsSBr2, relaxed
# total moment	0.00	Bohr magnetons per cell
# density of states at the Fermi level	0.0	states/eV per cell
# formation energy from raw total energies	-902	meV/atom
# energy above the most stable polymorph in this dataset	5	meV per atom
data_CsSBr2
_chemical_formula_sum 'Cs4 S4 Br8'
_cell_length_a 7.022
_cell_length_b 8.657
_cell_length_c 12.301
_cell_angle_alpha 90.00
_cell_angle_beta 95.20
_cell_angle_gamma 90.00
_space_group_name_H-M_alt 'C 1 2 1'
_space_group_IT_number 5
loop_
_space_group_symop_operation_xyz
'x,y,z'
'-x,y,-z'
'x+1/2,y+1/2,z'
'-x+1/2,y+1/2,-z'
loop_
_atom_site_label
_atom_site_type_symbol
_atom_site_fract_x
_atom_site_fract_y
_atom_site_fract_z
_atom_site_occupancy
Cs1 Cs 0.226 0.000 0.337 1
S1 S 0.134 0.802 0.029 1
Br1 Br 0.180 0.620 0.171 1
Br2 Br 0.233 0.412 0.373 1

=====

3.
# PBE-GGA Li17Ac2Zn3, relaxed
# total moment	0.00	Bohr magnetons per cell
# density of states at the Fermi level	37.9	states/eV per cell
# energy of formation from the pure elements	0.029	eV/atom
data_Li17Ac2Zn3
_chemical_formula_sum 'Li51 Ac6 Zn9'
_cell_length_a 10.6652
_cell_length_b 10.6652
_cell_length_c 15.3110
_cell_angle_alpha 90.00
_cell_angle_beta 90.00
_cell_angle_gamma 120.00
_space_group_name_H-M_alt 'R -3 m'
_space_group_IT_number 166
_space_group_name_Hall '-R 3 2"'
loop_
_atom_site_label
_atom_site_type_symbol
_atom_site_fract_x
_atom_site_fract_y
_atom_site_fract_z
_atom_site_occupancy
Li1 Li 0.0000 0.0000 0.0941 1
Li2 Li 0.0000 0.2632 0.0000 1
Li3 Li 0.0000 0.5000 0.5000 1
Li4 Li 0.0096 0.5048 0.1706 1
Ac1 Ac 0.0000 0.0000 0.3318 1
Zn1 Zn 0.0000 0.5000 0.0000 1

=====

4.
# PBE-GGA Cu2IrPtSe8, relaxed
# total moment	0.00	Bohr magnetons per cell
# density of states at the Fermi level	23.5	states/eV per cell
# formation energy from raw total energies	262	meV/atom
data_Cu2IrPtSe8
_chemical_formula_sum 'Cu4 Ir2 Pt2 Se16'
_cell_length_a 8.297
_cell_length_b 8.297
_cell_length_c 8.165
_cell_angle_alpha 90.00
_cell_angle_beta 90.00
_cell_angle_gamma 90.00
_space_group_name_H-M_alt 'I -4 m 2'
_space_group_IT_number 119
_space_group_name_Hall 'I -4 -2'
loop_
_atom_site_label
_atom_site_type_symbol
_atom_site_fract_x
_atom_site_fract_y
_atom_site_fract_z
_atom_site_occupancy
Cu1 Cu 0.000 0.000 0.000 1
Cu2 Cu 0.000 0.500 0.250 1
Ir1 Ir 0.000 0.500 0.750 1
Pt1 Pt 0.000 0.000 0.500 1
Se1 Se 0.000 0.178 0.774 1
Se2 Se 0.000 0.331 0.482 1

=====

5.
# PBE-GGA MnB2PtC, relaxed
# total moment	0.58	Bohr magnetons per cell
# density of states at the Fermi level	6.0	states/eV per cell
# energy above the most stable polymorph in this dataset	1131	meV per atom
# energy of formation from the pure elements	2.172	eV/atom
data_MnB2PtC
_chemical_formula_sum 'Mn1 B2 Pt1 C1'
_cell_length_a 3.866
_cell_length_b 3.866
_cell_length_c 5.214
_cell_angle_alpha 90.00
_cell_angle_beta 90.00
_cell_angle_gamma 90.00
_space_group_name_H-M_alt 'P 4/m m m'
_space_group_IT_number 123
_space_group_name_Hall '-P 4 2'
loop_
_atom_site_label
_atom_site_type_symbol
_atom_site_fract_x
_atom_site_fract_y
_atom_site_fract_z
_atom_site_occupancy
Mn1 Mn 0.000 0.000 0.000 1
B1 B 0.000 0.500 0.500 1
Pt1 Pt 0.000 0.000 0.500 1
C1 C 0.500 0.500 0.000 1

=====

6.
# PBE-GGA MnSbPb2, relaxed
# total moment	4.25	Bohr magnetons per cell
# density of states at the Fermi level	2.5	states/eV per cell
# formation energy from raw total energies	342	meV/atom
data_MnSbPb2
_chemical_formula_sum 'Mn1 Sb1 Pb2'
_cell_length_a 4.449
_cell_length_b 4.734
_cell_length_c 5.083
_cell_angle_alpha 90.00
_cell_angle_beta 90.00
_cell_angle_gamma 90.00
_space_group_name_H-M_alt 'P m m m'
_space_group_IT_number 47
loop_
_space_group_symop_operation_xyz
'x,y,z'
'-x,-y,-z'
'-x,-y,z'
'x,y,-z'
'x,-y,-z'
'-x,y,z'
'-x,y,-z'
'x,-y,z'
loop_
_atom_site_label
_atom_site_type_symbol
_atom_site_fract_x
_atom_site_fract_y
_atom_site_fract_z
_atom_site_occupancy
Mn1 Mn 0.000 0.000 0.000 1
Sb1 Sb 0.500 0.500 0.000 1
Pb1 Pb 0.000 0.500 0.500 1
Pb2 Pb 0.500 0.000 0.500 1

=====

7.
# PBE-GGA Ce2Cd3Ag3, relaxed
# total moment	5.18	Bohr magnetons per cell
# density of states at the Fermi level	26.3	states/eV per cell
# energy of formation from the pure elements	-0.071	eV/atom
data_Ce2Cd3Ag3
_chemical_formula_sum 'Ce4 Cd6 Ag6'
_cell_length_a 8.7515
_cell_length_b 8.7515
_cell_length_c 6.0061
_cell_angle_alpha 90.00
_cell_angle_beta 90.00
_cell_angle_gamma 120.00
_space_group_name_H-M_alt 'P 63/m c m'
_space_group_IT_number 193
_space_group_name_Hall '-P 6c 2'
loop_
_atom_site_label
_atom_site_type_symbol
_atom_site_fract_x
_atom_site_fract_y
_atom_site_fract_z
_atom_site_occupancy
Ce1 Ce 0.3333 0.6667 0.0000 1
Cd1 Cd 0.0000 0.3028 0.2500 1
Ag1 Ag 0.0000 0.3431 0.7500 1

=====

8.
# PBE-GGA NiBiPb, relaxed
# total moment	0.00	Bohr magnetons per cell
# density of states at the Fermi level	4.2	states/eV per cell
# energy of formation from the pure elements	0.050	eV/atom
data_NiBiPb
_chemical_formula_sum 'Ni2 Bi2 Pb2'
_cell_length_a 4.127
_cell_length_b 5.303
_cell_length_c 6.810
_cell_angle_alpha 90.00
_cell_angle_beta 96.14
_cell_angle_gamma 90.00
_space_group_name_H-M_alt 'P 1 21/m 1'
_space_group_IT_number 11
loop_
_space_group_symop_operation_xyz
'x,y,z'
'-x,-y,-z'
'-x,y+1/2,-z'
'x,-y+1/2,z'
loop_
_atom_site_label
_atom_site_type_symbol
_atom_site_fract_x
_atom_site_fract_y
_atom_site_fract_z
_atom_site_occupancy
Ni1 Ni 0.000 0.000 0.000 1
Bi1 Bi 0.469 0.250 0.822 1
Pb1 Pb 0.071 0.250 0.351 1

=====

9.
# PBE-GGA TbEr6In6, relaxed
# total moment	0.00	Bohr magnetons per cell
# density of states at the Fermi level	13.9	states/eV per cell
# energy of formation from the pure elements	-0.305	eV/atom
data_TbEr6In6
_chemical_formula_sum 'Tb1 Er6 In6'
_cell_length_a 6.2183
_cell_length_b 6.2183
_cell_length_c 10.6705
_cell_angle_alpha 90.00
_cell_angle_beta 90.00
_cell_angle_gamma 120.00
_space_group_name_H-M_alt 'P 6/m m m'
_space_group_IT_number 191
_space_group_name_Hall '-P 6 2'
loop_
_atom_site_label
_atom_site_type_symbol
_atom_site_fract_x
_atom_site_fract_y
_atom_site_fract_z
_atom_site_occupancy
Tb1 Tb 0.0000 0.0000 0.0000 1
Er1 Er 0.0000 0.0000 0.3402 1
Er2 Er 0.3333 0.6667 0.0000 1
Er3 Er 0.3333 0.6667 0.5000 1
In1 In 0.0000 0.5000 0.2457 1

=====

10.
# PBE-GGA B5C7, relaxed
# total moment	0.00	Bohr magnetons per cell
# density of states at the Fermi level	1.2	states/eV per cell
# energy above the most stable polymorph in this dataset	137	meV per atom
# energy of formation from the pure elements	0.395	eV/atom
data_B5C7
_chemical_formula_sum 'B5 C7'
_cell_length_a 3.868
_cell_length_b 4.630
_cell_length_c 5.081
_cell_angle_alpha 105.21
_cell_angle_beta 90.12
_cell_angle_gamma 114.47
_space_group_name_H-M_alt 'P 1'
_space_group_IT_number 1
loop_
_space_group_symop_operation_xyz
'x,y,z'
loop_
_atom_site_label
_atom_site_type_symbol
_atom_site_fract_x
_atom_site_fract_y
_atom_site_fract_z
_atom_site_occupancy
B1 B 0.000 0.000 0.000 1
B2 B 0.009 0.014 0.574 1
B3 B 0.344 0.990 0.257 1
B4 B 0.699 0.332 0.867 1
B5 B 0.725 0.371 0.379 1
C1 C 0.309 0.992 0.788 1
C2 C 0.373 0.670 0.701 1
C3 C 0.374 0.652 0.195 1
C4 C 0.609 0.666 0.950 1
C5 C 0.611 0.676 0.452 1
C6 C 0.982 0.347 0.127 1
C7 C 0.989 0.357 0.619 1

=====

11.
# PBE-GGA La2EuHo, relaxed
# total moment	7.22	Bohr magnetons per cell
# density of states at the Fermi level	6.1	states/eV per cell
# energy above the most stable polymorph in this dataset	0	meV per atom
# energy of formation from the pure elements	0.040	eV/atom
data_La2EuHo
_chemical_formula_sum 'La2 Eu1 Ho1'
_cell_length_a 3.740
_cell_length_b 3.740
_cell_length_c 10.452
_cell_angle_alpha 90.00
_cell_angle_beta 90.00
_cell_angle_gamma 90.00
_space_group_name_H-M_alt 'P 4/m m m'
_space_group_IT_number 123
_space_group_name_Hall '-P 4 2'
loop_
_atom_site_label
_atom_site_type_symbol
_atom_site_fract_x
_atom_site_fract_y
_atom_site_fract_z
_atom_site_occupancy
La1 La 0.000 0.000 0.235 1
Eu1 Eu 0.500 0.500 0.500 1
Ho1 Ho 0.500 0.500 0.000 1

=====

12.
# PBE-GGA LiCeGdY, relaxed
# total moment	41.86	Bohr magnetons per cell
# density of states at the Fermi level	34.6	states/eV per cell
# energy of formation from the pure elements	0.271	eV/atom
data_LiCeGdY
_chemical_formula_sum 'Li4 Ce4 Gd4 Y4'
_cell_length_a 7.683
_cell_length_b 7.683
_cell_length_c 7.683
_cell_angle_alpha 90.00
_cell_angle_beta 90.00
_cell_angle_gamma 90.00
_space_group_name_H-M_alt 'F -4 3 m'
_space_group_IT_number 216
_space_group_name_Hall 'F -4 2 3'
loop_
_atom_site_label
_atom_site_type_symbol
_atom_site_fract_x
_atom_site_fract_y
_atom_site_fract_z
_atom_site_occupancy
Li1 Li 0.000 0.000 0.000 1
Ce1 Ce 0.000 0.000 0.500 1
Gd1 Gd 0.250 0.250 0.250 1
Y1 Y 0.250 0.250 0.750 1